Computed, not measured: an optimized crystal structure of KMgAl at the PBE level of DFT.

Cell and atoms, written as POSCAR:
```
KMgAl
1.0
-0.600 3.161 4.338
-4.062 -3.173 -1.611
1.177 -2.522 2.001
Al K Mg
1 1 1
Direct
0.000 0.000 0.834 Al
0.667 0.333 0.334 K
0.333 0.667 0.832 Mg
```

## Properties
Calculated formation energy = 0.9 eV per formula unit
Raw total energy = -1.84 eV per atom
Distance to the lowest polymorph of the same formula = 0.193 eV/atom